DFT (meta-GGA SCAN) results for Zn2Co3O8 at its PBEsol-relaxed geometry.

Cell lengths 5.543, 5.543, 4.828 Å; angles 101.03, 101.03, 60.54 degrees
Element x y z (fractional)
Zn (0.209, 0.209, 0.106)
Zn (0.791, 0.791, 0.894)
Co (0.246, 0.754, 0.500)
Co (0.500, 0.500, 0.000)
Co (0.754, 0.246, 0.500)
O (0.105, 0.105, 0.407)
O (0.161, 0.612, 0.133)
O (0.388, 0.839, 0.867)
O (0.401, 0.401, 0.625)
O (0.599, 0.599, 0.375)
O (0.612, 0.161, 0.133)
O (0.839, 0.388, 0.867)
O (0.895, 0.895, 0.593)

Results
The excess energy over the best structure of this formula in the dataset comes out at 0.54 eV/f.u.


DFT (meta-GGA SCAN) results for ZnCo2O4 at its PBEsol-relaxed geometry.

Cell lengths 5.687, 5.687, 5.687 Å; angles 60.00, 60.00, 60.00 degrees
Element x y z (fractional)
Zn (0.125, 0.125, 0.125)
Zn (0.875, 0.875, 0.875)
Co (0.000, 0.500, 0.500)
Co (0.500, 0.000, 0.500)
Co (0.500, 0.500, 0.000)
Co (0.500, 0.500, 0.500)
O (0.265, 0.265, 0.265)
O (0.265, 0.265, 0.705)
O (0.265, 0.705, 0.265)
O (0.295, 0.735, 0.735)
O (0.705, 0.265, 0.265)
O (0.735, 0.295, 0.735)
O (0.735, 0.735, 0.295)
O (0.735, 0.735, 0.735)

Results
The value obtained for the total energy is -168.80 eV per cell.


DFT (meta-GGA SCAN) results for Zn4CoO5 at its PBEsol-relaxed geometry.

Cell lengths 3.218, 3.218, 26.141 Å; angles 90.00, 90.00, 120.00 degrees
Element x y z (fractional)
Zn (0.000, 0.000, 0.000)
Zn (0.000, 0.000, 0.198)
Zn (0.000, 0.000, 0.397)
Zn (0.000, 0.000, 0.598)
Zn (0.000, 0.000, 0.799)
Zn (0.667, 0.333, 0.498)
Zn (0.667, 0.333, 0.699)
Zn (0.667, 0.333, 0.900)
Co (0.667, 0.333, 0.099)
Co (0.667, 0.333, 0.297)
O (0.000, 0.000, 0.076)
O (0.000, 0.000, 0.274)
O (0.000, 0.000, 0.472)
O (0.000, 0.000, 0.674)
O (0.000, 0.000, 0.875)
O (0.667, 0.333, 0.174)
O (0.667, 0.333, 0.372)
O (0.667, 0.333, 0.573)
O (0.667, 0.333, 0.774)
O (0.667, 0.333, 0.976)

Results
The value obtained for the total energy is -235.27 eV per cell.


DFT (meta-GGA SCAN) results for Co2Os at its PBEsol-relaxed geometry.

Cell lengths 3.568, 10.688, 3.563 Å; angles 90.00, 90.00, 90.00 degrees
Element x y z (fractional)
Co (0.000, 0.079, 0.250)
Co (0.000, 0.247, 0.750)
Co (0.000, 0.753, 0.250)
Co (0.000, 0.921, 0.750)
Co (0.500, 0.253, 0.250)
Co (0.500, 0.421, 0.750)
Co (0.500, 0.579, 0.250)
Co (0.500, 0.747, 0.750)
Os (0.000, 0.412, 0.250)
Os (0.000, 0.588, 0.750)
Os (0.500, 0.088, 0.750)
Os (0.500, 0.912, 0.250)

Results
The excess energy over the best structure of this formula in the dataset comes out at 0.09 eV/f.u.


Number 1: total magnetization 3.01 μB/cell, density of states at the Fermi level 4.5 states/eV/f.u.. Number 2: total magnetization 0.00 μB/cell, density of states at the Fermi level 0.0 states/eV/f.u.. Number 3: total magnetization 6.01 μB/cell, density of states at the Fermi level 0.9 states/eV/f.u.. Number 4: total magnetization 8.94 μB/cell, density of states at the Fermi level 3.0 states/eV/f.u..